The following is a PBE calculation of an optimized crystal structure of Y5Ho8Sc, from the Alexandria database.

Summary:
DFT total energy ... -5.19 eV/atom
Total magnetization ... 0.00 μB per atom
E_form ... 0.19 eV/atom
V ... 31.9 A^3/atom

Cell lengths 8.3878, 8.3878, 8.8663 Å; angles 121.36, 121.36, 82.08 degrees
Element x y z (fractional)
Y  0.0000  0.0000  0.0000
Y  0.1030  0.5014  0.8679
Y  0.3127  0.3116  0.5853
Y  0.4986  0.8970  0.1321
Y  0.6884  0.6873  0.4147
Ho  0.1642  0.7155  0.6465
Ho  0.2845  0.8358  0.3535
Ho  0.3471  0.3486  0.2304
Ho  0.5015  0.1047  0.8686
Ho  0.6514  0.6529  0.7696
Ho  0.7167  0.1633  0.6499
Ho  0.8367  0.2833  0.3501
Ho  0.8953  0.4985  0.1314
Sc  0.0001  0.9999  0.5000